Compound: Th3ScPt12
Source: the Alexandria database
Functional: GGA-PBE
Structure: relaxed

Properties
* density: 17.50 g/cm³
* M_tot: 0.00 μB/atom
* space-group type: P4/mmm (123)
* crystal system: tetragonal
* formation energy: -1.10 eV/atom

The structure in POSCAR format:
```
Th3ScPt12
1.0
4.188 0.000 0.000
0.000 4.188 0.000
0.000 0.000 16.678
Th Sc Pt
3 1 12
direct
0.000 0.000 0.241
0.000 0.000 0.500
0.000 0.000 0.759
0.000 0.000 0.000
0.500 0.500 0.000
0.500 0.500 0.245
0.500 0.500 0.500
0.500 0.500 0.755
0.500 0.000 0.116
0.500 0.000 0.372
0.500 0.000 0.628
0.500 0.000 0.884
0.000 0.500 0.116
0.000 0.500 0.372
0.000 0.500 0.628
0.000 0.500 0.884
```